(1)
{
  "formula": "BaMn2Ru",
  "functional": "PBE",
  "state": "relaxed",
  "dft_energy_ry_per_atom": -0.504,
  "spacegroup": "No. 123",
  "rho_g_cm3": 6.9,
  "lattice_angstrom": [[-2.8564, 0.0716, -1.4745], [1.4732, -0.0665, -2.8572], [-0.2359, -8.0513, 0.0658]],
  "species": ["Ru", "Mn", "Mn", "Ba"],
  "frac_coords": [[0.5000, 0.5000, 0.2500], [0.0000, 0.0000, 0.0845], [0.0000, 0.0000, 0.4155], [0.5000, 0.5000, 0.7500]]
}



(2)
{
  "formula": "BaMnRu2",
  "functional": "PBE",
  "state": "relaxed",
  "dft_energy_ry_per_atom": -0.480,
  "spacegroup": "No. 44",
  "rho_g_cm3": 7.9,
  "lattice_angstrom": [[5.9573, 0.4160, 0.0156], [2.4897, 5.4281, -0.0156], [-3.3708, -4.1546, 2.6534]],
  "species": ["Mn", "Ru", "Ba", "Ru"],
  "frac_coords": [[0.2097, 0.7097, 0.5000], [0.9918, 0.9918, 0.0000], [0.5068, 0.5068, 0.0000], [0.7917, 0.2917, 0.5000]]
}



(3)
{
  "formula": "BaMn2Ru",
  "functional": "PBE",
  "state": "relaxed",
  "dft_energy_ry_per_atom": -0.484,
  "spacegroup": "No. 71",
  "rho_g_cm3": 6.4,
  "lattice_angstrom": [[-1.5146, 2.2381, 5.3678], [3.4422, -1.6641, 4.6366], [-0.4621, 2.8363, -5.2780]],
  "species": ["Ru", "Mn", "Mn", "Ba"],
  "frac_coords": [[0.7500, 0.2500, 0.5000], [0.5533, 0.5533, 0.0000], [0.9467, 0.9467, 0.0000], [0.2500, 0.7500, 0.5000]]
}



(4)
{
  "formula": "BaMn2Ru",
  "functional": "PBE",
  "state": "relaxed",
  "dft_energy_ry_per_atom": -0.471,
  "spacegroup": "No. 123",
  "rho_g_cm3": 7.1,
  "lattice_angstrom": [[-0.1075, 0.3704, 4.6329], [-2.5106, -3.3535, 0.2098], [3.3587, -2.4971, 0.2776]],
  "species": ["Mn", "Mn", "Ba", "Ru"],
  "frac_coords": [[0.0000, 0.5000, 0.5000], [0.0000, 0.0000, 0.0000], [0.5000, 0.0000, 0.5000], [0.5000, 0.5000, 0.0000]]
}



(5)
{
  "formula": "BaMn2Ru",
  "functional": "PBE",
  "state": "relaxed",
  "dft_energy_ry_per_atom": -0.517,
  "spacegroup": "No. 160",
  "rho_g_cm3": 6.1,
  "lattice_angstrom": [[4.2711, -0.0351, 0.0215], [2.1640, 3.6825, 0.0215], [2.1118, 1.1970, 5.9727]],
  "species": ["Mn", "Mn", "Ba", "Ru"],
  "frac_coords": [[0.2435, 0.2435, 0.2694], [0.9447, 0.9447, 0.1655], [0.7543, 0.7543, 0.7375], [0.5574, 0.5574, 0.3276]]
}



(6)
{
  "formula": "Ba2MnRu",
  "functional": "PBE",
  "state": "relaxed",
  "dft_energy_ry_per_atom": -0.353,
  "spacegroup": "No. 47",
  "rho_g_cm3": 6.0,
  "lattice_angstrom": [[-3.5544, -0.8184, 1.1335], [0.8717, -3.6679, 0.0851], [3.2388, -2.9187, 8.0488]],
  "species": ["Ba", "Ru", "Ba", "Mn"],
  "frac_coords": [[0.0000, 0.4705, 0.5295], [0.5000, 0.7500, 0.7500], [0.0000, 0.0295, 0.9705], [0.5000, 0.2500, 0.2500]]
}



In eV per formula unit, the ΔH_f (0 K) values for the records above are, in order, 2.11, 3.54, 3.20, 3.89, 1.40, 3.09.